(1)
Entry from Alexandria via LeMat-Bulk: an optimized crystal structure of K2AgRh (PBE-GGA).

The space group is R-3m (No. 166, hexagonal axes) and the conventional cell measures 3.2083, 3.2083 and 32.6138 Å, with angles of 90.00, 90.00 and 120.00 degrees. The asymmetric unit holds K at (0.0000, 0.0000, 0.2442), Ag at (0.0000, 0.0000, 0.0000) and Rh at (0.0000, 0.0000, 0.5000).

As for the total energy: -29.5 eV for the cell shown. The polymorph energy (0 for the lowest one) is 269 meV/atom. The crystal system is trigonal.

---

(2)
Entry from Alexandria via LeMat-Bulk: an optimized crystal structure of KAgRh2 (PBE-GGA).

The space group is R-3m (No. 166, hexagonal axes) and the conventional cell measures 2.8284, 2.8284 and 30.9320 Å, with angles of 90.00, 90.00 and 120.00 degrees. The asymmetric unit holds K at (0.0000, 0.0000, 0.0000), Ag at (0.0000, 0.0000, 0.5000) and Rh at (0.0000, 0.0000, 0.2434).

As for the total energy: -49.0 eV for the cell shown. The polymorph energy (0 for the lowest one) is 247 meV/atom. The crystal system is trigonal.